# 1
An optimized crystal structure of SmFeB4. Source: Alexandria via LeMat-Bulk, functional GGA-PBE.

Results
Formation energy from the elements = -50 kJ per mole of atoms
Mass density = 7.01 g/cm3
Total moment = 0.000 μB per formula unit

abc: 3.4406 5.9601 11.5322
angles: 90.00 90.00 90.00
Closest atoms and distances in Å follow each position.
Positions (direct):
B1 0.5000 0.5243 0.8115  3 B 1.73-1.90
B2 0.5000 0.2215 0.8176  3 B 1.80-1.90
B3 0.5000 0.1417 0.9678  3 B 1.73-1.84
B4 0.5000 0.6103 0.9549  3 B 1.68-1.73
B5 0.5000 0.1103 0.5451  3 B 1.68-1.73
B6 0.5000 0.0243 0.6885  3 B 1.73-1.90
B7 0.5000 0.8583 0.0322  3 B 1.73-1.84
B8 0.5000 0.2785 0.3176  3 B 1.80-1.90
B9 0.5000 0.6417 0.5322  3 B 1.73-1.84
B10 0.5000 0.3897 0.0451  3 B 1.68-1.73
B11 0.5000 0.4757 0.1885  3 B 1.73-1.90
B12 0.5000 0.9757 0.3115  3 B 1.73-1.90
B13 0.5000 0.3583 0.4678  3 B 1.73-1.84
B14 0.5000 0.7785 0.1824  3 B 1.80-1.90
B15 0.5000 0.7215 0.6824  3 B 1.80-1.90
B16 0.5000 0.8897 0.4549  3 B 1.68-1.73
Fe1 0.0000 0.8683 0.5877  10 B 2.22-2.31
Fe2 0.0000 0.1317 0.4123  10 B 2.22-2.31
Fe3 0.0000 0.3683 0.9123  10 B 2.22-2.31
Fe4 0.0000 0.6317 0.0877  10 B 2.22-2.31
Sm1 0.0000 0.8746 0.8495  14 B 2.63-2.74
Sm2 0.0000 0.6254 0.3495  14 B 2.63-2.74
Sm3 0.0000 0.3746 0.6505  14 B 2.63-2.74
Sm4 0.0000 0.1254 0.1505  14 B 2.63-2.74



# 2
An optimized crystal structure of SmFe9B4. Source: Alexandria via LeMat-Bulk, functional GGA-PBE.

Results
Formation energy from the elements = -14 kJ per mole of atoms
Mass density = 7.72 g/cm3
Total moment = 14.800 μB per formula unit

abc: 7.3538 7.3573 7.5935
angles: 118.95 118.94 90.05
Closest atoms and distances in Å follow each position.
Positions (direct):
B1 0.7658 0.9507 0.2714  6 Fe 2.07-2.31
B2 0.0494 0.4943 0.7286  6 Fe 2.07-2.31
B3 0.9506 0.5057 0.2715  6 Fe 2.07-2.31
B4 0.2342 0.0493 0.7286  6 Fe 2.07-2.31
B5 0.6792 0.2343 0.7285  6 Fe 2.07-2.31
B6 0.5056 0.3207 0.2714  6 Fe 2.07-2.31
B7 0.4944 0.6793 0.7286  6 Fe 2.07-2.31
B8 0.3208 0.7657 0.2715  6 Fe 2.07-2.31
Fe1 0.5304 0.0550 0.3553  4 B 2.09-2.31
Fe2 0.3004 0.4151 0.0000  6 Fe 2.26-2.41, 4 B 2.32-2.34
Fe3 0.5848 0.3003 0.0000  6 Fe 2.26-2.41, 4 B 2.32-2.34
Fe4 0.5000 0.0000 0.0000  4 B 2.24, 8 Fe 2.30-2.42
Fe5 0.0551 0.8249 0.3552  4 B 2.09-2.31
Fe6 0.0000 0.5000 0.0000  4 B 2.24, 8 Fe 2.30-2.42
Fe7 0.1082 0.8077 0.0000  2 B 2.07, 2 Fe 2.29
Fe8 0.8918 0.1923 0.0000  2 B 2.07, 2 Fe 2.29
Fe9 0.1920 0.1081 0.0000  2 B 2.07, 2 Fe 2.29
Fe10 0.8249 0.3003 0.3553  4 B 2.09-2.31
Fe11 0.4152 0.6997 0.0000  6 Fe 2.26-2.41, 4 B 2.32-2.34
Fe12 0.9449 0.1751 0.6447  4 B 2.09-2.31
Fe13 0.8080 0.8919 0.0000  2 B 2.07, 2 Fe 2.29
Fe14 0.1751 0.6997 0.6447  4 B 2.09-2.31
Fe15 0.4696 0.9450 0.6447  4 B 2.09-2.31
Fe16 0.6998 0.4697 0.6448  4 B 2.09-2.31
Fe17 0.3002 0.5303 0.3553  4 B 2.09-2.31
Fe18 0.6996 0.5849 0.0000  6 Fe 2.26-2.41, 4 B 2.32-2.34
Sm1 0.7517 0.7517 0.5034  4 B 2.82, 8 Fe 2.86-3.09
Sm2 0.2483 0.2483 0.4966  4 B 2.82, 8 Fe 2.86-3.09



Copy entry 2 word for word.
An optimized crystal structure of SmFe9B4. Source: Alexandria via LeMat-Bulk, functional GGA-PBE.

Results
Formation energy from the elements = -14 kJ per mole of atoms
Mass density = 7.72 g/cm3
Total moment = 14.800 μB per formula unit

abc: 7.3538 7.3573 7.5935
angles: 118.95 118.94 90.05
Closest atoms and distances in Å follow each position.
Positions (direct):
B1 0.7658 0.9507 0.2714  6 Fe 2.07-2.31
B2 0.0494 0.4943 0.7286  6 Fe 2.07-2.31
B3 0.9506 0.5057 0.2715  6 Fe 2.07-2.31
B4 0.2342 0.0493 0.7286  6 Fe 2.07-2.31
B5 0.6792 0.2343 0.7285  6 Fe 2.07-2.31
B6 0.5056 0.3207 0.2714  6 Fe 2.07-2.31
B7 0.4944 0.6793 0.7286  6 Fe 2.07-2.31
B8 0.3208 0.7657 0.2715  6 Fe 2.07-2.31
Fe1 0.5304 0.0550 0.3553  4 B 2.09-2.31
Fe2 0.3004 0.4151 0.0000  6 Fe 2.26-2.41, 4 B 2.32-2.34
Fe3 0.5848 0.3003 0.0000  6 Fe 2.26-2.41, 4 B 2.32-2.34
Fe4 0.5000 0.0000 0.0000  4 B 2.24, 8 Fe 2.30-2.42
Fe5 0.0551 0.8249 0.3552  4 B 2.09-2.31
Fe6 0.0000 0.5000 0.0000  4 B 2.24, 8 Fe 2.30-2.42
Fe7 0.1082 0.8077 0.0000  2 B 2.07, 2 Fe 2.29
Fe8 0.8918 0.1923 0.0000  2 B 2.07, 2 Fe 2.29
Fe9 0.1920 0.1081 0.0000  2 B 2.07, 2 Fe 2.29
Fe10 0.8249 0.3003 0.3553  4 B 2.09-2.31
Fe11 0.4152 0.6997 0.0000  6 Fe 2.26-2.41, 4 B 2.32-2.34
Fe12 0.9449 0.1751 0.6447  4 B 2.09-2.31
Fe13 0.8080 0.8919 0.0000  2 B 2.07, 2 Fe 2.29
Fe14 0.1751 0.6997 0.6447  4 B 2.09-2.31
Fe15 0.4696 0.9450 0.6447  4 B 2.09-2.31
Fe16 0.6998 0.4697 0.6448  4 B 2.09-2.31
Fe17 0.3002 0.5303 0.3553  4 B 2.09-2.31
Fe18 0.6996 0.5849 0.0000  6 Fe 2.26-2.41, 4 B 2.32-2.34
Sm1 0.7517 0.7517 0.5034  4 B 2.82, 8 Fe 2.86-3.09
Sm2 0.2483 0.2483 0.4966  4 B 2.82, 8 Fe 2.86-3.09



> Which of these has the highest total moment?

SmFe9B4